A plane-wave DFT calculation with PBE was carried out for crystalline Pr2AgSb at its relaxed geometry.

It has space group P4/mmm (No. 123), with a = 5.255 Å, b = 5.255 Å, c = 4.104 Å, α = 90.00°, β = 90.00° and γ = 90.00°. The inequivalent atoms are Pr at (0.000, 0.500, 0.000), Ag at (0.000, 0.000, 0.500) and Sb at (0.500, 0.500, 0.500).

The density of states at the Fermi level comes out at 3.3 states/eV/cell. The value obtained for the formation energy from raw total energies is -0.637 eV per atom. The total moment is 0.0 μB/cell.

A plane-wave DFT calculation with PBE was carried out for crystalline Co3Br at its relaxed geometry.

It has space group Cmmm (No. 65), with a = 5.540 Å, b = 6.424 Å, c = 2.973 Å, α = 90.00°, β = 90.00° and γ = 90.00°. The inequivalent atoms are Co at (0.000, 0.000, 0.000), Co at (0.250, 0.250, 0.500) and Br at (0.000, 0.500, 0.000).

The density of states at the Fermi level comes out at 12.5 states/eV/cell. The value obtained for the formation energy from raw total energies is 0.767 eV per atom. The total moment is 10.0 μB/cell.

A plane-wave DFT calculation with PBE was carried out for crystalline NaSrH2Ir at its relaxed geometry.

It has space group P4/mmm (No. 123), with a = 4.385 Å, b = 4.385 Å, c = 7.523 Å, α = 90.00°, β = 90.00° and γ = 90.00°. The inequivalent atoms are Na at (0.000, 0.000, 0.000), Sr at (0.000, 0.000, 0.500), H at (0.000, 0.500, 0.500) and Ir at (0.500, 0.500, 0.000).

The density of states at the Fermi level comes out at 5.0 states/eV/cell. Its final energy is -13.9 eV/f.u. The total moment is 2.0 μB/cell.

A plane-wave DFT calculation with PBE was carried out for crystalline BeSbMo at its relaxed geometry.

It has space group I4mm (No. 107), with a = 3.292 Å, b = 3.292 Å, c = 8.617 Å, α = 90.00°, β = 90.00° and γ = 90.00°. The inequivalent atoms are Be at (0.000, 0.000, 0.000), Sb at (0.000, 0.000, 0.315) and Mo at (0.000, 0.000, 0.634).

The density of states at the Fermi level comes out at 5.0 states/eV/cell. The value obtained for the formation energy from raw total energies is 0.164 eV per atom. The total moment is 0.0 μB/cell.

A plane-wave DFT calculation with PBE was carried out for crystalline TaNiW2 at its relaxed geometry.

It has space group Cmmm (No. 65), with a = 5.464 Å, b = 8.484 Å, c = 2.706 Å, α = 90.00°, β = 90.00° and γ = 90.00°. The inequivalent atoms are Ta at (0.000, 0.000, 0.000), Ni at (0.000, 0.500, 0.000) and W at (0.250, 0.250, 0.500).

For the formation energy, the calculation gives 0.260 eV per atom. The density of states at the Fermi level comes out at 7.1 states/eV/cell. The total moment is 0.0 μB/cell.

A plane-wave DFT calculation with PBE was carried out for crystalline Sr2ZrIr at its relaxed geometry.

It has space group Cm (No. 8), with a = 7.698 Å, b = 4.390 Å, c = 8.991 Å, α = 90.00°, β = 105.99° and γ = 90.00°. The inequivalent atoms are Sr at (0.000, 0.000, 0.000), Sr at (0.183, 0.000, 0.558), Zr at (0.258, 0.500, 0.271) and Ir at (0.443, 0.000, 0.323).

For the formation energy, the calculation gives -0.159 eV per atom. The density of states at the Fermi level comes out at 8.6 states/eV/cell. The total moment is 0.0 μB/cell.

A plane-wave DFT calculation with PBE was carried out for crystalline BeAlAg2 at its relaxed geometry.

It has space group I-42d (No. 122), with a = 3.922 Å, b = 3.922 Å, c = 17.756 Å, α = 90.00°, β = 90.00° and γ = 90.00°. The inequivalent atoms are Be at (0.000, 0.000, 0.000), Al at (0.000, 0.000, 0.500) and Ag at (0.240, 0.250, 0.125).

For the formation energy, the calculation gives 0.383 eV per atom. The density of states at the Fermi level comes out at 6.7 states/eV/cell. The total moment is 0.0 μB/cell.

A plane-wave DFT calculation with PBE was carried out for crystalline Nd8P3S4 at its relaxed geometry.

It has space group C2/m (No. 12), with a = 11.576 Å, b = 11.598 Å, c = 8.191 Å, α = 90.00°, β = 134.86° and γ = 90.00°. The inequivalent atoms are Nd at (0.000, 0.247, 0.000), Nd at (0.000, 0.248, 0.500), Nd at (0.243, 0.000, 0.491), Nd at (0.247, 0.000, 0.997), P at (0.000, 0.000, 0.500), P at (0.250, 0.250, 0.000), S at (0.000, 0.000, 0.000), S at (0.000, 0.500, 0.500) and S at (0.250, 0.250, 0.500).

The density of states at the Fermi level comes out at 12.7 states/eV/cell. The value obtained for the formation energy from raw total energies is -1.725 eV per atom. The total moment is 0.0 μB/cell.

Q: Which formula does entry 2 have?
A: Co3Br

Q: What is the formula in the first record?
A: Pr2AgSb

Q: Which value of total moment does entry 6 give?
A: 0.0 μB/cell